Below is a PBEsol-optimized structure of K2SiRu, with properties calculated at the meta-GGA SCAN level.

Structure (CIF):
```
data_K2SiRu
_chemical_formula_sum 'K2 Si1 Ru1'
_cell_length_a 3.797
_cell_length_b 3.797
_cell_length_c 5.503
_cell_angle_alpha 90.00
_cell_angle_beta 90.00
_cell_angle_gamma 90.00
_symmetry_space_group_name_H-M 'P 4/m m m'
_symmetry_Int_Tables_number 123
_symmetry_space_group_name_Hall '-P 4 2'
loop_
_atom_site_label
_atom_site_type_symbol
_atom_site_fract_x
_atom_site_fract_y
_atom_site_fract_z
K1 K 0.000 0.500 0.000
Si1 Si 0.000 0.000 0.500
Ru1 Ru 0.500 0.500 0.500
```

Total energy: -14.51 eV per atom
Energy relative to the elements, uncorrected: 19.837 kcal/mol of atoms
Total magnetization: 1.36 Bohr magnetons per cell